No. 1
# MgIn2Tc

A geometry-optimized MgIn2Tc structure (PBE-GGA, Alexandria via LeMat-Bulk).

Fermi-level density of states = 3.900 states/eV per cell
uncorrected energy = -4.178 eV/atom
E_form = 0.18 eV per atom
symmetry = P4mm

Cell lengths 3.6431, 3.6431, 5.9118 Å; angles 90.00, 90.00, 90.00 degrees
Closest atoms and distances in Å follow each position.
Fractional positions:
In1 0.0000 0.0000 0.9701  1 Mg 2.67, 4 Tc 2.88
Tc1 0.5000 0.5000 0.7524  6 In 2.88-3.00, 4 Mg 2.92
Mg1 0.0000 0.0000 0.5183  1 In 2.67, 4 Tc 2.92
In2 0.5000 0.5000 0.2593  2 Tc 2.92-3.00, 4 Mg 3.00, 4 In 3.09



No. 2
# Ca6PdAu5

A geometry-optimized Ca6PdAu5 structure (PBE-GGA, Alexandria via LeMat-Bulk).

Fermi-level density of states = 7.894 states/eV per cell
uncorrected energy = -3.569 eV/atom
E_form = -0.77 eV per atom
symmetry = P2/m

Cell lengths 5.1083, 7.3184, 8.0572 Å; angles 90.00, 71.31, 90.00 degrees
Closest atoms and distances in Å follow each position.
Fractional positions:
Ca1 0.8347 0.2480 0.3305  1 Pd 3.11, 7 Au 3.12-3.17
Ca2 0.8347 0.7520 0.3305  1 Pd 3.11, 7 Au 3.12-3.17
Au1 0.3318 0.5000 0.3357  8 Ca 3.14-3.16
Ca3 0.5000 0.7524 0.0000  6 Au 3.10-3.16, 2 Pd 3.13
Au2 0.3356 0.0000 0.3294  8 Ca 3.10-3.17
Ca4 0.1653 0.7520 0.6695  1 Pd 3.11, 7 Au 3.12-3.17
Au3 0.6644 0.0000 0.6706  8 Ca 3.10-3.17
Au4 0.6682 0.5000 0.6643  8 Ca 3.14-3.16
Ca5 0.1653 0.2480 0.6695  1 Pd 3.11, 7 Au 3.12-3.17
Au5 0.0000 0.5000 0.0000  8 Ca 3.12-3.15
Pd1 0.0000 0.0000 0.0000  8 Ca 3.11-3.13
Ca6 0.5000 0.2476 0.0000  6 Au 3.10-3.16, 2 Pd 3.13



No. 3
# La4MnP

A geometry-optimized La4MnP structure (PBE-GGA, Alexandria via LeMat-Bulk).

Fermi-level density of states = 9.032 states/eV per cell
uncorrected energy = -5.169 eV/atom
E_form = 0.55 eV per atom
symmetry = F-43m

Cell lengths 6.3190, 6.3190, 6.3190 Å; angles 60.00, 60.00, 60.00 degrees
Closest atoms and distances in Å follow each position.
Fractional positions:
La1 0.3746 0.3746 0.3746  6 La 3.15-3.17
La2 0.3746 0.8763 0.3746  6 La 3.15-3.17
P1 0.0000 0.0000 0.0000  12 La 3.70, 4 Mn 3.87
La3 0.8763 0.3746 0.3746  6 La 3.15-3.17
Mn1 0.7500 0.7500 0.7500  12 La 3.71, 4 P 3.87
La4 0.3746 0.3746 0.8763  6 La 3.15-3.17



No. 4
# Pm4ErTmS8

A geometry-optimized Pm4ErTmS8 structure (PBE-GGA, Alexandria via LeMat-Bulk).

energy relative to the elements, uncorrected = -26.829 eV/f.u.
Fermi-level density of states = 8.321 states/eV per cell
uncorrected energy = -6.278 eV/atom
symmetry = R3m

Cell lengths 8.1803, 8.1803, 8.1678 Å; angles 59.95, 59.95, 60.00 degrees
Closest atoms and distances in Å follow each position.
Fractional positions:
S1 0.2399 0.2399 0.7564  1 Tm 2.59, 1 Er 2.76, 2 Pm 2.86
S2 0.7573 0.7573 0.7281  4 Pm 2.66-2.83
Pm1 0.4964 0.0015 0.5007  6 S 2.83-2.86
Pm2 0.0015 0.0015 0.5007  6 S 2.83-2.86
S3 0.2216 0.7649 0.2487  3 Pm 2.69-2.83, 1 Er 2.73
Tm1 0.3756 0.3756 0.8731  4 S 2.56-2.59
Pm3 0.6242 0.6242 0.1273  4 S 2.66-2.69
S4 0.2399 0.7639 0.7564  1 Tm 2.59, 1 Er 2.76, 2 Pm 2.86
Er1 0.0009 0.0009 0.9972  6 S 2.73-2.76
S5 0.7649 0.7649 0.2487  3 Pm 2.69-2.83, 1 Er 2.73
S6 0.7649 0.2216 0.2487  3 Pm 2.69-2.83, 1 Er 2.73
S7 0.7639 0.2399 0.7564  1 Tm 2.59, 1 Er 2.76, 2 Pm 2.86
S8 0.2477 0.2477 0.2570  1 Tm 2.56, 3 Pm 2.85
Pm4 0.0015 0.4964 0.5007  6 S 2.83-2.86



No. 5
# Hg3OF3

A geometry-optimized Hg3OF3 structure (PBE-GGA, Alexandria via LeMat-Bulk).

energy relative to the elements, uncorrected = -6.858 eV/f.u.
uncorrected energy = -2.619 eV/atom
symmetry = C2/m

Cell lengths 7.0575, 7.0575, 5.9970 Å; angles 97.39, 97.39, 113.70 degrees
Closest atoms and distances in Å follow each position.
Fractional positions:
Hg1 0.4981 0.7780 0.7767  1 O 2.13, 2 F 2.22-2.35
Hg2 0.0775 0.0775 0.7190  1 O 2.23
F1 0.3957 0.3957 0.6752  3 Hg 2.46-2.53
F2 0.2437 0.7563 0.5000  2 Hg 2.22
Hg3 0.2220 0.5019 0.2233  1 O 2.13, 2 F 2.22-2.35
Hg4 0.5019 0.2220 0.2233  1 O 2.13, 2 F 2.22-2.35
O1 0.8056 0.8056 0.9045  3 Hg 2.13-2.23
F3 0.6043 0.6043 0.3248  3 Hg 2.46-2.53
Hg5 0.9225 0.9225 0.2810  1 O 2.23
F4 0.7563 0.2437 0.5000  2 Hg 2.22
Hg6 0.7780 0.4981 0.7767  1 O 2.13, 2 F 2.22-2.35
F5 0.2424 0.7576 0.0000  2 Hg 2.35
F6 0.7576 0.2424 0.0000  2 Hg 2.35
O2 0.1944 0.1944 0.0955  3 Hg 2.13-2.23



No. 6
# HOsSeBr2

A geometry-optimized HOsSeBr2 structure (PBE-GGA, Alexandria via LeMat-Bulk).

Fermi-level density of states = 3.904 states/eV per cell
uncorrected energy = -3.513 eV/atom
ΔE to the lowest computed polymorph = 0.0 meV per atom
symmetry = P4/mmm

Cell lengths 5.2838, 5.2838, 4.6266 Å; angles 90.00, 90.00, 90.00 degrees
Closest atoms and distances in Å follow each position.
Fractional positions:
Br1 0.5000 0.0000 0.0000  2 Os 2.64
Se1 0.0000 0.0000 0.5000  2 Os 2.31
Br2 0.0000 0.5000 0.0000  2 Os 2.64
Os1 0.0000 0.0000 0.0000  2 Se 2.31
H1 0.5000 0.5000 0.5000  8 Br 3.51, 4 Se 3.74



No. 7
# Ba2TcSb

A geometry-optimized Ba2TcSb structure (PBE-GGA, Alexandria via LeMat-Bulk).

energy relative to the elements, uncorrected = 1.396 eV/f.u.
Fermi-level density of states = 5.438 states/eV per cell
uncorrected energy = -4.234 eV/atom
symmetry = Pmmm

Cell lengths 3.6549, 4.6450, 7.9602 Å; angles 90.00, 90.00, 90.00 degrees
Closest atoms and distances in Å follow each position.
Fractional positions:
Tc1 0.5000 0.5000 0.7500  8 Ba 3.53, 2 Tc 3.65
Ba1 0.0000 0.0000 0.5065  4 Tc 3.53, 4 Sb 3.59, 3 Ba 3.65-3.88
Ba2 0.0000 0.0000 0.9935  4 Tc 3.53, 4 Sb 3.59, 3 Ba 3.65-3.88
Sb1 0.5000 0.5000 0.2500  8 Ba 3.59, 2 Sb 3.65, 2 Tc 3.98



No. 8
# Pm2Sc2Si2C

A geometry-optimized Pm2Sc2Si2C structure (PBE-GGA, Alexandria via LeMat-Bulk).

energy relative to the elements, uncorrected = -5.171 eV/f.u.
Fermi-level density of states = 0.860 states/eV per cell
uncorrected energy = -6.772 eV/atom
symmetry = I4/mmm

Cell lengths 4.4234, 4.4234, 8.3356 Å; angles 105.39, 105.39, 90.00 degrees
Closest atoms and distances in Å follow each position.
Fractional positions:
Si1 0.3717 0.3717 0.7434  4 Sc 2.97, 5 Pm 3.18
Pm1 0.1659 0.1659 0.3318  1 C 2.56
Sc1 0.0000 0.5000 0.0000  2 C 2.21
Pm2 0.8341 0.8341 0.6682  1 C 2.56
Si2 0.6283 0.6283 0.2566  4 Sc 2.97, 5 Pm 3.18
Sc2 0.5000 0.0000 0.0000  2 C 2.21
C1 0.0000 0.0000 0.0000  4 Sc 2.21



| no. | total moment (Bohr magnetons per cell) |
| --- | --- |
| 1 | 0.02 |
| 2 | 0.00 |
| 3 | 3.67 |
| 4 | 0.01 |
| 5 | 0.00 |
| 6 | 1.53 |
| 7 | 2.64 |
| 8 | 0.00 |